A plane-wave DFT calculation with PBE was carried out for a geometry-optimized Ho2PuNi structure.

abc: 3.4845 3.4845 10.4852
angles: 80.44 80.44 60.00
Positions (direct):
Ho 0.8913 0.8913 0.3261
Pu 0.0000 0.0000 0.0000
Ho 0.1087 0.1087 0.6739
Ni 0.5000 0.5000 0.5000

## Properties
As for the raw total energy: -28.6 eV/f.u. The value obtained for the formation energy from the elements is 0.17 eV/atom. The calculation puts the energy above the lowest structure with this stoichiometry at 0.2875 eV per atom.

---

A plane-wave DFT calculation with PBE was carried out for a geometry-optimized HoPu2Ni structure.

abc: 3.4256 3.4256 10.2398
angles: 80.37 80.37 60.00
Positions (direct):
Ni 0.5000 0.5000 0.5000
Pu 0.1046 0.1046 0.6863
Pu 0.8954 0.8954 0.3137
Ho 0.0000 0.0000 0.0000

## Properties
As for the raw total energy: -37.7 eV/f.u. The value obtained for the formation energy from the elements is 0.32 eV/atom. The calculation puts the energy above the lowest structure with this stoichiometry at 0.2412 eV per atom.

---

A plane-wave DFT calculation with PBE was carried out for a geometry-optimized HoPuNi4 structure.

abc: 5.0554 5.0554 5.0554
angles: 60.00 60.00 60.00
Positions (direct):
Ni 0.1238 0.6254 0.6254
Ni 0.6254 0.6254 0.6254
Pu 0.0000 0.0000 0.0000
Ni 0.6254 0.1238 0.6254
Ni 0.6254 0.6254 0.1238
Ho 0.2500 0.2500 0.2500

## Properties
As for the raw total energy: -44.0 eV/f.u. The value obtained for the formation energy from the elements is -0.34 eV/atom.

---

A plane-wave DFT calculation with PBE was carried out for a geometry-optimized HoPuNiRu structure.

abc: 4.7699 4.7699 4.7699
angles: 60.00 60.00 60.00
Positions (direct):
Ni 0.7500 0.7500 0.7500
Pu 0.0000 0.0000 0.0000
Ru 0.2500 0.2500 0.2500
Ho 0.5000 0.5000 0.5000

## Properties
As for the raw total energy: -34.8 eV/f.u. The value obtained for the formation energy from the elements is -0.22 eV/atom.

---

A plane-wave DFT calculation with PBE was carried out for a geometry-optimized HoPuZnNi structure.

abc: 4.9031 4.9031 4.9031
angles: 60.00 60.00 60.00
Positions (direct):
Pu 0.0000 0.0000 0.0000
Ho 0.5000 0.5000 0.5000
Zn 0.7500 0.7500 0.7500
Ni 0.2500 0.2500 0.2500

## Properties
As for the raw total energy: -26.5 eV/f.u. The value obtained for the formation energy from the elements is -0.14 eV/atom.

---

A plane-wave DFT calculation with PBE was carried out for a geometry-optimized RbHo2Ni structure.

abc: 4.0236 4.0236 11.3222
angles: 79.77 79.77 60.00
Positions (direct):
Ho 0.1259 0.1259 0.6222
Rb 0.0000 0.0000 0.0000
Ni 0.5000 0.5000 0.5000
Ho 0.8741 0.8741 0.3778

## Properties
As for the raw total energy: -15.8 eV/f.u. The value obtained for the formation energy from the elements is 0.04 eV/atom.

---

A plane-wave DFT calculation with PBE was carried out for a geometry-optimized HoReNi structure.

abc: 6.8351 6.8351 5.4609
angles: 90.00 90.00 90.00
Positions (direct):
Re 0.4396 0.4396 0.0000
Ni 0.1940 0.1940 0.0000
Re 0.5604 0.5604 0.5000
Ni 0.8060 0.8060 0.5000
Ni 0.6940 0.3060 0.7500
Re 0.9396 0.0604 0.7500
Ho 0.2684 0.2684 0.5000
Ho 0.7316 0.7316 0.0000
Re 0.0604 0.9396 0.2500
Ni 0.3060 0.6940 0.2500
Ho 0.2316 0.7684 0.7500
Ho 0.7684 0.2316 0.2500

## Properties
As for the raw total energy: -21.9 eV/f.u. The value obtained for the formation energy from the elements is 0.29 eV/atom.

---

A plane-wave DFT calculation with PBE was carried out for a geometry-optimized Ho2ReNi structure.

abc: 3.0540 3.0540 10.0497
angles: 81.26 81.26 60.00
Positions (direct):
Ni 0.5000 0.5000 0.5000
Re 0.0000 0.0000 0.0000
Ho 0.0936 0.0936 0.7192
Ho 0.9064 0.9064 0.2808

## Properties
As for the raw total energy: -24.6 eV/f.u. The value obtained for the formation energy from the elements is 0.70 eV/atom.

---

A plane-wave DFT calculation with PBE was carried out for a geometry-optimized HoReSi3Ni structure.

abc: 5.4278 6.1378 7.3249
angles: 114.77 90.00 90.00
Positions (direct):
Ni 0.2500 0.3898 0.7795
Si 0.2500 0.2268 0.4537
Ho 0.7500 0.2972 0.5945
Ni 0.7500 0.6102 0.2205
Re 0.2500 0.0546 0.1093
Si 0.5000 0.6950 0.0000
Si 0.5000 0.3050 0.0000
Si 0.7500 0.7732 0.5463
Ho 0.2500 0.7028 0.4055
Re 0.7500 0.9454 0.8907
Si 0.0000 0.3050 0.0000
Si 0.0000 0.6950 0.0000

## Properties
As for the raw total energy: -40.7 eV/f.u. As for the uncorrected formation energy: -266 meV/atom.

---

A plane-wave DFT calculation with PBE was carried out for a geometry-optimized Ho8Ni2Rh structure.

abc: 5.8382 7.4638 7.4638
angles: 114.21 99.88 99.88
Positions (direct):
Ho 0.5810 0.3412 0.0833
Rh 0.1164 0.0045 0.0045
Ho 0.5810 0.0833 0.3412
Ho 0.9898 0.7874 0.2181
Ho 0.9898 0.2181 0.7874
Ni 0.4916 0.3085 0.6989
Ni 0.4916 0.6989 0.3085
Ho 0.3871 0.9212 0.6641
Ho 0.3871 0.6641 0.9212
Ho 0.1700 0.3657 0.3657
Ho 0.8142 0.6411 0.6411

## Properties
As for the raw total energy: -58.2 eV/f.u. The value obtained for the formation energy from the elements is -0.24 eV/atom. The calculation puts the energy above the lowest structure with this stoichiometry at 0.0849 eV per atom.

---

A plane-wave DFT calculation with PBE was carried out for a geometry-optimized HoNiRh2 structure.

abc: 3.8937 4.0297 4.0297
angles: 90.00 90.00 90.00
Positions (direct):
Rh 0.0000 0.0000 0.5000
Ni 0.5000 0.0000 0.0000
Ho 0.5000 0.5000 0.5000
Rh 0.0000 0.5000 0.0000

## Properties
As for the raw total energy: -26.8 eV/f.u. The value obtained for the formation energy from the elements is -0.44 eV/atom. The calculation puts the energy above the lowest structure with this stoichiometry at 0.0000 eV per atom.

---

A plane-wave DFT calculation with PBE was carried out for a geometry-optimized Ho6Ni2Rh structure.

abc: 6.3798 7.0693 10.0248
angles: 90.00 92.61 90.00
Positions (direct):
Ho 0.1793 0.3281 0.4213
Ho 0.6793 0.1719 0.9213
Ni 0.4430 0.1140 0.2636
Ho 0.8413 0.6839 0.9259
Ni 0.5570 0.8860 0.7364
Ho 0.1587 0.3161 0.0741
Ho 0.1606 0.0510 0.7532
Rh 0.0000 0.0000 0.5000
Ho 0.3413 0.8161 0.4259
Ho 0.3207 0.8281 0.0787
Ho 0.6587 0.1839 0.5741
Ni 0.0570 0.6140 0.2364
Ho 0.6606 0.4490 0.2532
Ho 0.8207 0.6719 0.5787
Ni 0.9430 0.3860 0.7636
Ho 0.8394 0.9490 0.2468
Ho 0.3394 0.5510 0.7468
Rh 0.5000 0.5000 0.0000

## Properties
As for the raw total energy: -49.7 eV/f.u. The value obtained for the formation energy from the elements is -0.37 eV/atom. The calculation puts the energy above the lowest structure with this stoichiometry at 0.0582 eV per atom.

---

A plane-wave DFT calculation with PBE was carried out for a geometry-optimized HoNi2Rh structure.

abc: 4.9139 5.0582 11.4329
angles: 90.00 90.00 90.00
Positions (direct):
Rh 0.0000 0.2500 0.3326
Ho 0.0000 0.7500 0.3968
Ni 0.2504 0.2500 0.1383
Ni 0.7496 0.2500 0.1383
Rh 0.5000 0.2500 0.3184
Rh 0.0000 0.7500 0.6674
Ni 0.5000 0.0000 0.5000
Ho 0.0000 0.2500 0.6032
Ni 0.5000 0.5000 0.5000
Ho 0.5000 0.2500 0.8929
Ho 0.5000 0.7500 0.1071
Ni 0.0000 0.0000 0.0000
Ni 0.7496 0.7500 0.8617
Ni 0.0000 0.5000 0.0000
Rh 0.5000 0.7500 0.6816
Ni 0.2504 0.7500 0.8617

## Properties
As for the raw total energy: -24.1 eV/f.u. The value obtained for the formation energy from the elements is -0.16 eV/atom.